Entry from the Alexandria database: crystalline Ga2CuF at its relaxed geometry (GGA-PBE).

Summary:
SG   I-42d, No. 122
D(E_F)   1.3 states/eV per cell

Cell lengths 5.581, 5.581, 5.581 Å; angles 110.04, 110.04, 108.34 degrees
Atoms (fractional coordinates):
Ga (0.109, 0.625, 0.984)
Ga (0.375, 0.359, 0.484)
Ga (0.641, 0.125, 0.016)
Ga (0.875, 0.891, 0.516)
Cu (0.250, 0.750, 0.500)
Cu (0.500, 0.500, 0.000)
F (0.000, 0.000, 0.000)
F (0.750, 0.250, 0.500)

Entry from the Alexandria database: crystalline GaCuF4 at its relaxed geometry (GGA-PBE).

Summary:
SG   C2/c, No. 15

Cell lengths 7.193, 7.193, 5.122 Å; angles 105.79, 105.79, 127.14 degrees
Atoms (fractional coordinates):
Ga (0.066, 0.934, 0.750)
Ga (0.934, 0.066, 0.250)
Cu (0.330, 0.670, 0.250)
Cu (0.670, 0.330, 0.750)
F (0.054, 0.392, 0.283)
F (0.159, 0.248, 0.723)
F (0.248, 0.159, 0.223)
F (0.392, 0.054, 0.783)
F (0.608, 0.946, 0.217)
F (0.752, 0.841, 0.777)
F (0.841, 0.752, 0.277)
F (0.946, 0.608, 0.717)

Entry from the Alexandria database: crystalline Ga2CuF at its relaxed geometry (GGA-PBE).

Summary:
SG   Fm-3m, No. 225
D(E_F)   1.1 states/eV per cell

Cell lengths 4.399, 4.399, 4.399 Å; angles 60.00, 60.00, 60.00 degrees
Atoms (fractional coordinates):
Ga (0.250, 0.250, 0.250)
Ga (0.750, 0.750, 0.750)
Cu (0.000, 0.000, 0.000)
F (0.500, 0.500, 0.500)

Entry from the Alexandria database: crystalline GaCu2F8 at its relaxed geometry (GGA-PBE).

Summary:
SG   C2/m, No. 12
D(E_F)   5.9 states/eV per cell

Cell lengths 5.420, 5.420, 4.911 Å; angles 99.01, 99.01, 88.67 degrees
Atoms (fractional coordinates):
Ga (0.000, 0.000, 0.000)
Cu (0.307, 0.307, 0.501)
Cu (0.693, 0.693, 0.499)
F (0.027, 0.697, 0.740)
F (0.181, 0.181, 0.789)
F (0.303, 0.973, 0.260)
F (0.463, 0.463, 0.249)
F (0.537, 0.537, 0.751)
F (0.697, 0.027, 0.740)
F (0.819, 0.819, 0.211)
F (0.973, 0.303, 0.260)

Entry from the Alexandria database: crystalline InGa2CuF at its relaxed geometry (GGA-PBE).

Summary:
SG   P4/mmm, No. 123
D(E_F)   1.8 states/eV per cell

Cell lengths 4.993, 4.993, 3.951 Å; angles 90.00, 90.00, 90.00 degrees
Atoms (fractional coordinates):
In (0.000, 0.000, 0.000)
Ga (0.000, 0.500, 0.500)
Ga (0.500, 0.000, 0.500)
Cu (0.500, 0.500, 0.500)
F (0.500, 0.500, 0.000)

Entry from the Alexandria database: crystalline KGa2CuF8 at its relaxed geometry (GGA-PBE).

Summary:
SG   R-3, No. 148
D(E_F)   5.6 states/eV per cell

Cell lengths 8.053, 8.053, 8.053 Å; angles 39.14, 39.14, 39.14 degrees
Atoms (fractional coordinates):
K (0.000, 0.000, 0.000)
Ga (0.244, 0.244, 0.244)
Ga (0.756, 0.756, 0.756)
Cu (0.500, 0.500, 0.500)
F (0.096, 0.449, 0.786)
F (0.214, 0.904, 0.551)
F (0.325, 0.325, 0.325)
F (0.449, 0.786, 0.096)
F (0.551, 0.214, 0.904)
F (0.675, 0.675, 0.675)
F (0.786, 0.096, 0.449)
F (0.904, 0.551, 0.214)

Entry from the Alexandria database: crystalline K2GaCuF6 at its relaxed geometry (GGA-PBE).

Summary:
SG   Fm-3m, No. 225
D(E_F)   4.1 states/eV per cell

Cell lengths 5.890, 5.890, 5.890 Å; angles 60.00, 60.00, 60.00 degrees
Atoms (fractional coordinates):
K (0.250, 0.250, 0.250)
K (0.750, 0.750, 0.750)
Ga (0.000, 0.000, 0.000)
Cu (0.500, 0.500, 0.500)
F (0.233, 0.233, 0.767)
F (0.233, 0.767, 0.233)
F (0.233, 0.767, 0.767)
F (0.767, 0.233, 0.233)
F (0.767, 0.233, 0.767)
F (0.767, 0.767, 0.233)

Entry from the Alexandria database: crystalline Li2GaCuF6 at its relaxed geometry (GGA-PBE).

Summary:
SG   Fm-3m, No. 225
D(E_F)   4.0 states/eV per cell

Cell lengths 5.722, 5.722, 5.722 Å; angles 60.00, 60.00, 60.00 degrees
Atoms (fractional coordinates):
Li (0.250, 0.250, 0.250)
Li (0.750, 0.750, 0.750)
Ga (0.000, 0.000, 0.000)
Cu (0.500, 0.500, 0.500)
F (0.237, 0.237, 0.763)
F (0.237, 0.763, 0.237)
F (0.237, 0.763, 0.763)
F (0.763, 0.237, 0.237)
F (0.763, 0.237, 0.763)
F (0.763, 0.763, 0.237)

Entry from the Alexandria database: crystalline LiGaCu2F8 at its relaxed geometry (GGA-PBE).

Summary:
SG   I-4m2, No. 119
D(E_F)   10.5 states/eV per cell

Cell lengths 5.747, 5.747, 5.747 Å; angles 111.71, 111.71, 105.07 degrees
Atoms (fractional coordinates):
Li (0.000, 0.000, 0.000)
Ga (0.250, 0.750, 0.500)
Cu (0.500, 0.500, 0.000)
Cu (0.750, 0.250, 0.500)
F (0.303, 0.091, 0.788)
F (0.303, 0.516, 0.212)
F (0.353, 0.044, 0.309)
F (0.484, 0.697, 0.788)
F (0.735, 0.044, 0.691)
F (0.909, 0.697, 0.212)
F (0.956, 0.265, 0.309)
F (0.956, 0.647, 0.691)

Entry from the Alexandria database: crystalline LiGaCuF6 at its relaxed geometry (GGA-PBE).

Summary:
SG   P-31c, No. 163
D(E_F)   13.4 states/eV per cell

Cell lengths 5.161, 5.161, 9.004 Å; angles 90.00, 90.00, 120.00 degrees
Atoms (fractional coordinates):
Li (0.000, 0.000, 0.000)
Li (0.000, 0.000, 0.500)
Ga (0.333, 0.667, 0.250)
Ga (0.667, 0.333, 0.750)
Cu (0.333, 0.667, 0.750)
Cu (0.667, 0.333, 0.250)
F (0.018, 0.356, 0.133)
F (0.018, 0.662, 0.367)
F (0.338, 0.356, 0.367)
F (0.338, 0.982, 0.133)
F (0.356, 0.018, 0.633)
F (0.356, 0.338, 0.867)
F (0.644, 0.662, 0.133)
F (0.644, 0.982, 0.367)
F (0.662, 0.018, 0.867)
F (0.662, 0.644, 0.633)
F (0.982, 0.338, 0.633)
F (0.982, 0.644, 0.867)

Entry from the Alexandria database: crystalline MgGaCuF6 at its relaxed geometry (GGA-PBE).

Summary:
SG   P-31c, No. 163
D(E_F)   16.3 states/eV per cell

Cell lengths 5.237, 5.237, 9.418 Å; angles 90.00, 90.00, 120.00 degrees
Atoms (fractional coordinates):
Mg (0.333, 0.667, 0.250)
Mg (0.667, 0.333, 0.750)
Ga (0.333, 0.667, 0.750)
Ga (0.667, 0.333, 0.250)
Cu (0.000, 0.000, 0.000)
Cu (0.000, 0.000, 0.500)
F (0.012, 0.368, 0.639)
F (0.012, 0.644, 0.861)
F (0.356, 0.368, 0.861)
F (0.356, 0.988, 0.639)
F (0.368, 0.012, 0.139)
F (0.368, 0.356, 0.361)
F (0.632, 0.644, 0.639)
F (0.632, 0.988, 0.861)
F (0.644, 0.012, 0.361)
F (0.644, 0.632, 0.139)
F (0.988, 0.356, 0.139)
F (0.988, 0.632, 0.361)

Entry from the Alexandria database: crystalline GaCuNF2 at its relaxed geometry (GGA-PBE).

Summary:
SG   P4/mmm, No. 123
D(E_F)   3.1 states/eV per cell

Cell lengths 3.830, 3.830, 4.107 Å; angles 90.00, 90.00, 90.00 degrees
Atoms (fractional coordinates):
Ga (0.000, 0.000, 0.000)
Cu (0.500, 0.500, 0.500)
N (0.500, 0.500, 0.000)
F (0.000, 0.500, 0.500)
F (0.500, 0.000, 0.500)

no.,ΔE_f (raw) (meV per atom)
1,-481.1
2,-2033.9
3,-490.0
4,-1763.3
5,-288.2
6,-2300.3
7,-2412.0
8,-2165.2
9,-1919.5
10,-2294.1
11,-2501.4
12,-291.8